The following is a PBE calculation of crystalline Gd2LuP at its relaxed geometry, from Alexandria via LeMat-Bulk.

Properties
Symmetry: R-3m (166)
Energy relative to the elements in kJ per mole of atoms: -46.4
Fermi-level density of states in states/eV/cell: 4.4
V in Å³/f.u.: 122.4

Cell lengths 10.282, 10.282, 10.282 Å; angles 21.01, 21.01, 21.01 degrees
Element x y z (fractional)
1 Gd 0.112 0.112 0.112
2 Gd 0.888 0.888 0.888
3 Lu 0.000 0.000 0.000
4 P 0.500 0.500 0.500